Entry one
The following is a DFT calculation (GGA-PBE) of a relaxed LaHo crystal.

Properties
ρ	5.563	g/cm3

a b c (Å): 5.0431 5.0431 5.0431
angles (deg): 60.00 60.00 60.00
With the nearest neighbours (Å) after each atom.
Element x y z (fractional)
Ho  0.0000  0.0000  0.0000  4 La 3.09
La  0.2500  0.2500  0.2500  4 Ho 3.09


Entry two
The following is a DFT calculation (GGA-PBE) of a relaxed LaHo crystal.

Properties
ρ	7.030	g/cm3

a b c (Å): 4.6647 4.6647 4.6647
angles (deg): 60.00 60.00 60.00
With the nearest neighbours (Å) after each atom.
Element x y z (fractional)
Ho  0.0000  0.0000  0.0000  6 La 3.30
La  0.5000  0.5000  0.5000  6 Ho 3.30


List of relative energies, unit meV per atom: entry one 968; entry two 0


Entry one
The following is a DFT calculation (GGA-PBE) of a relaxed LaHoPO crystal.

Properties
ρ	7.111	g/cm3

a b c (Å): 4.2221 4.2221 9.1915
angles (deg): 90.00 90.00 90.00
With the nearest neighbours (Å) after each atom.
Element x y z (fractional)
Ho  0.2500  0.2500  0.0983  4 O 2.30
Ho  0.7500  0.7500  0.9017  4 O 2.30
La  0.7500  0.2500  0.5000  4 P 2.91, 4 La 2.99
La  0.2500  0.7500  0.5000  4 P 2.91, 4 La 2.99
O  0.7500  0.2500  0.0000  4 Ho 2.30
O  0.2500  0.7500  0.0000  4 Ho 2.30
P  0.7500  0.7500  0.2816  4 La 2.91
P  0.2500  0.2500  0.7184  4 La 2.91


Entry two
The following is a DFT calculation (GGA-PBE) of a relaxed LaHoPO crystal.

Properties
ρ	6.655	g/cm3

a b c (Å): 4.4078 4.4078 9.0104
angles (deg): 90.00 90.00 90.00
With the nearest neighbours (Å) after each atom.
Element x y z (fractional)
Ho  0.7500  0.2500  0.5000  4 P 2.75
Ho  0.2500  0.7500  0.5000  4 P 2.75
La  0.2500  0.2500  0.1153  4 O 2.44
La  0.7500  0.7500  0.8847  4 O 2.44
O  0.7500  0.2500  0.0000  4 La 2.44
O  0.2500  0.7500  0.0000  4 La 2.44
P  0.7500  0.7500  0.3179  4 Ho 2.75
P  0.2500  0.2500  0.6821  4 Ho 2.75


List of relative energies, unit meV per atom: entry one 212; entry two 0


Entry one
The following is a DFT calculation (GGA-PBE) of a relaxed LaHoZn2Pb2 crystal.

Properties
ρ	9.141	g/cm3

a b c (Å): 4.6269 4.6269 16.6378
angles (deg): 90.00 90.00 120.00
With the nearest neighbours (Å) after each atom.
Element x y z (fractional)
Ho  0.0000  0.0000  0.2500  6 Zn 2.99
Ho  0.0000  0.0000  0.7500  6 Zn 2.99
La  0.0000  0.0000  0.0000  6 Pb 3.30
La  0.0000  0.0000  0.5000  6 Pb 3.30
Pb  0.3333  0.6667  0.1166  3 Zn 2.81
Pb  0.3333  0.6667  0.3834  3 Zn 2.81
Pb  0.6667  0.3333  0.6166  3 Zn 2.81
Pb  0.6667  0.3333  0.8834  3 Zn 2.81
Zn  0.6667  0.3333  0.1688  1 Zn 2.70, 3 Pb 2.81, 3 Ho 2.99
Zn  0.6667  0.3333  0.3312  1 Zn 2.70, 3 Pb 2.81, 3 Ho 2.99
Zn  0.3333  0.6667  0.6688  1 Zn 2.70, 3 Pb 2.81, 3 Ho 2.99
Zn  0.3333  0.6667  0.8312  1 Zn 2.70, 3 Pb 2.81, 3 Ho 2.99


Entry two
The following is a DFT calculation (GGA-PBE) of a relaxed LaHoZn2Pb2 crystal.

Properties
ρ	9.121	g/cm3

a b c (Å): 4.6769 4.6769 16.3194
angles (deg): 90.00 90.00 120.00
With the nearest neighbours (Å) after each atom.
Element x y z (fractional)
Ho  0.0000  0.0000  0.0000  6 Pb 3.21
Ho  0.0000  0.0000  0.5000  6 Pb 3.21
La  0.0000  0.0000  0.2500  6 Zn 3.09
La  0.0000  0.0000  0.7500  6 Zn 3.09
Pb  0.3333  0.6667  0.1058  3 Zn 2.83
Pb  0.3333  0.6667  0.3942  3 Zn 2.83
Pb  0.6667  0.3333  0.6058  3 Zn 2.83
Pb  0.6667  0.3333  0.8942  3 Zn 2.83
Zn  0.6667  0.3333  0.1584  3 Pb 2.83, 1 Zn 2.99, 3 La 3.09
Zn  0.6667  0.3333  0.3416  3 Pb 2.83, 1 Zn 2.99, 3 La 3.09
Zn  0.3333  0.6667  0.6584  3 Pb 2.83, 1 Zn 2.99, 3 La 3.09
Zn  0.3333  0.6667  0.8416  3 Pb 2.83, 1 Zn 2.99, 3 La 3.09


List of relative energies, unit meV per atom: entry one 0; entry two 41


Entry one
The following is a DFT calculation (GGA-PBE) of a relaxed LaHoS2 crystal.

Properties
ρ	6.620	g/cm3

a b c (Å): 4.0274 4.0274 5.6904
angles (deg): 90.00 90.00 90.00
With the nearest neighbours (Å) after each atom.
Element x y z (fractional)
Ho  0.5000  0.5000  0.5000  6 S 2.85
La  0.0000  0.0000  0.0000  6 S 2.85
S  0.5000  0.5000  0.0000  2 Ho 2.85, 4 La 2.85
S  0.0000  0.0000  0.5000  2 La 2.85, 4 Ho 2.85


Entry two
The following is a DFT calculation (GGA-PBE) of a relaxed LaHoS2 crystal.

Properties
ρ	6.685	g/cm3

a b c (Å): 3.9776 3.9776 7.0505
angles (deg): 106.46 106.46 60.13
With the nearest neighbours (Å) after each atom.
Element x y z (fractional)
Ho  0.0000  0.0000  0.0000  6 S 2.75
La  0.5000  0.5000  0.5000  6 S 2.93
S  0.7425  0.7425  0.2273  3 Ho 2.75, 3 La 2.93
S  0.2575  0.2575  0.7727  3 Ho 2.75, 3 La 2.93


List of relative energies, unit meV per atom: entry one 63; entry two 0


Entry one
The following is a DFT calculation (GGA-PBE) of a relaxed Li2Ho crystal.

Properties
ρ	3.415	g/cm3

a b c (Å): 4.9726 4.9726 4.9726
angles (deg): 60.00 60.00 60.00
With the nearest neighbours (Å) after each atom.
Element x y z (fractional)
Ho  0.0000  0.0000  0.0000  8 Li 3.05
Li  0.2500  0.2500  0.2500  4 Ho 3.05
Li  0.7500  0.7500  0.7500  4 Ho 3.05


Entry two
The following is a DFT calculation (GGA-PBE) of a relaxed Li2Ho crystal.

Properties
ρ	4.530	g/cm3

a b c (Å): 7.6416 7.6416 4.9354
angles (deg): 90.00 90.00 152.94
With the nearest neighbours (Å) after each atom.
Element x y z (fractional)
Ho  0.4246  0.5754  0.2500  8 Li 3.07-3.27, 2 Ho 3.33
Ho  0.5754  0.4246  0.7500  8 Li 3.07-3.27, 2 Ho 3.33
Li  0.7402  0.2598  0.2500  2 Li 2.72
Li  0.1025  0.8975  0.2500  2 Li 2.72
Li  0.8975  0.1025  0.7500  2 Li 2.72
Li  0.2598  0.7402  0.7500  2 Li 2.72


List of relative energies, unit meV per atom: entry one 632; entry two 0


Entry one
The following is a DFT calculation (GGA-PBE) of a relaxed LiHoMgS3 crystal.

Properties
ρ	3.683	g/cm3

a b c (Å): 6.4973 6.4973 10.8938
angles (deg): 90.00 90.00 145.02
With the nearest neighbours (Å) after each atom.
Element x y z (fractional)
Ho  0.0000  0.0000  0.0000  6 S 2.71-2.95
Ho  0.0000  0.0000  0.5000  6 S 2.71-2.95
Li  0.7440  0.2560  0.2500  2 S 2.72
Li  0.2560  0.7440  0.7500  2 S 2.72
Mg  0.4737  0.5263  0.2500  4 S 2.37-2.44
Mg  0.5263  0.4737  0.7500  4 S 2.37-2.44
S  0.3631  0.6369  0.0727  1 Mg 2.37
S  0.0916  0.9084  0.2500  2 Mg 2.44, 2 Li 2.72
S  0.3631  0.6369  0.4273  1 Mg 2.37
S  0.6369  0.3631  0.5727  1 Mg 2.37
S  0.9084  0.0916  0.7500  2 Mg 2.44, 2 Li 2.72
S  0.6369  0.3631  0.9273  1 Mg 2.37


Entry two
The following is a DFT calculation (GGA-PBE) of a relaxed LiHoMgS3 crystal.

Properties
ρ	3.320	g/cm3

a b c (Å): 7.3623 3.9109 10.4717
angles (deg): 90.00 104.07 90.00
With the nearest neighbours (Å) after each atom.
Element x y z (fractional)
Ho  0.8352  0.7500  0.3548  6 S 2.70-2.78
Ho  0.1648  0.2500  0.6452  6 S 2.70-2.78
Li  0.3398  0.7500  0.3990  5 S 2.52-2.69
Li  0.6602  0.2500  0.6010  5 S 2.52-2.69
Mg  0.5370  0.2500  0.1167  4 S 2.43-2.46
Mg  0.4630  0.7500  0.8833  4 S 2.43-2.46
S  0.7197  0.7500  0.0831  3 Mg 2.45-2.46
S  0.5667  0.2500  0.3533  1 Mg 2.43, 3 Li 2.52-2.69
S  0.0928  0.2500  0.3763  2 Li 2.64, 3 Ho 2.70-2.74
S  0.9072  0.7500  0.6237  2 Li 2.64, 3 Ho 2.70-2.74
S  0.4333  0.7500  0.6467  1 Mg 2.43, 3 Li 2.52-2.69
S  0.2803  0.2500  0.9169  3 Mg 2.45-2.46


List of relative energies, unit meV per atom: entry one 104; entry two 0


Entry one
The following is a DFT calculation (GGA-PBE) of a relaxed LiHoMgSe3 crystal.

Properties
ρ	4.811	g/cm3

a b c (Å): 6.8681 6.8681 11.2332
angles (deg): 90.00 90.00 145.65
With the nearest neighbours (Å) after each atom.
Element x y z (fractional)
Ho  0.0000  0.0000  0.0000  6 Se 2.84-3.07
Ho  0.0000  0.0000  0.5000  6 Se 2.84-3.07
Li  0.7494  0.2506  0.2500  6 Se 2.87-3.21
Li  0.2506  0.7494  0.7500  6 Se 2.87-3.21
Mg  0.4746  0.5254  0.2500  4 Se 2.51-2.57
Mg  0.5254  0.4746  0.7500  4 Se 2.51-2.57
Se  0.3611  0.6389  0.0706  1 Mg 2.51
Se  0.0946  0.9054  0.2500  2 Mg 2.57, 2 Li 2.87
Se  0.3611  0.6389  0.4294  1 Mg 2.51
Se  0.6389  0.3611  0.5706  1 Mg 2.51
Se  0.9054  0.0946  0.7500  2 Mg 2.57, 2 Li 2.87
Se  0.6389  0.3611  0.9294  1 Mg 2.51


Entry two
The following is a DFT calculation (GGA-PBE) of a relaxed LiHoMgSe3 crystal.

Properties
ρ	4.369	g/cm3

a b c (Å): 7.7522 4.0845 10.7417
angles (deg): 90.00 104.55 90.00
With the nearest neighbours (Å) after each atom.
Element x y z (fractional)
Ho  0.3325  0.7500  0.3561  6 Se 2.83-2.92
Ho  0.6675  0.2500  0.6439  6 Se 2.83-2.92
Li  0.8337  0.7500  0.3920  5 Se 2.65-2.82
Li  0.1663  0.2500  0.6080  5 Se 2.65-2.82
Mg  0.0521  0.2500  0.1131  4 Se 2.56-2.61
Mg  0.9479  0.7500  0.8869  4 Se 2.56-2.61
Se  0.2354  0.7500  0.0750  3 Mg 2.58-2.61
Se  0.0652  0.2500  0.3537  1 Mg 2.56, 3 Li 2.65-2.82
Se  0.5889  0.2500  0.3692  2 Li 2.76, 3 Ho 2.83-2.86
Se  0.4111  0.7500  0.6308  2 Li 2.76, 3 Ho 2.83-2.86
Se  0.9348  0.7500  0.6463  1 Mg 2.56, 3 Li 2.65-2.82
Se  0.7646  0.2500  0.9250  3 Mg 2.58-2.61


List of relative energies, unit meV per atom: entry one 80; entry two 0


Entry one
The following is a DFT calculation (GGA-PBE) of a relaxed LiHoNO crystal.

Properties
ρ	7.018	g/cm3

a b c (Å): 3.6596 3.6596 7.1336
angles (deg): 90.00 90.00 90.00
With the nearest neighbours (Å) after each atom.
Element x y z (fractional)
Ho  0.0000  0.5000  0.1654  4 O 2.18
Ho  0.5000  0.0000  0.8346  4 O 2.18
Li  0.0000  0.0000  0.5000  4 N 2.06
Li  0.5000  0.5000  0.5000  4 N 2.06
N  0.5000  0.0000  0.3671  4 Li 2.06
N  0.0000  0.5000  0.6329  4 Li 2.06
O  0.0000  0.0000  0.0000  4 Ho 2.18
O  0.5000  0.5000  0.0000  4 Ho 2.18


Entry two
The following is a DFT calculation (GGA-PBE) of a relaxed LiHoNO crystal.

Properties
ρ	6.126	g/cm3

a b c (Å): 4.0118 4.4337 6.1533
angles (deg): 90.00 90.00 90.00
With the nearest neighbours (Å) after each atom.
Element x y z (fractional)
Ho  0.5000  0.9394  0.2071  2 N 2.22, 3 O 2.22-2.24
Ho  0.5000  0.4394  0.7929  2 N 2.22, 3 O 2.22-2.24
Li  0.0000  0.4406  0.3146  2 N 1.99-2.21
Li  0.0000  0.9406  0.6854  2 N 1.99-2.21
N  0.0000  0.9351  0.3618  2 Li 1.99-2.21, 2 Ho 2.22
N  0.0000  0.4351  0.6382  2 Li 1.99-2.21, 2 Ho 2.22
O  0.5000  0.4389  0.1540  3 Ho 2.22-2.24, 2 Li 2.24
O  0.5000  0.9389  0.8460  3 Ho 2.22-2.24, 2 Li 2.24


Entry three
The following is a DFT calculation (GGA-PBE) of a relaxed LiHoNO crystal.

Properties
ρ	6.047	g/cm3

a b c (Å): 3.7832 4.5209 6.4828
angles (deg): 90.00 90.00 90.00
With the nearest neighbours (Å) after each atom.
Element x y z (fractional)
Ho  0.0000  0.4407  0.2979  2 O 2.14, 3 N 2.28-2.30
Ho  0.0000  0.9407  0.7021  2 O 2.14, 3 N 2.28-2.30
Li  0.5000  0.9582  0.1509  2 O 1.93-2.07
Li  0.5000  0.4582  0.8491  2 O 1.93-2.07
N  0.0000  0.9392  0.3479  3 Ho 2.28-2.30, 2 Li 2.28
N  0.0000  0.4392  0.6521  3 Ho 2.28-2.30, 2 Li 2.28
O  0.5000  0.4159  0.1449  2 Li 1.93-2.07, 2 Ho 2.14
O  0.5000  0.9159  0.8551  2 Li 1.93-2.07, 2 Ho 2.14


List of relative energies, unit meV per atom: entry one 120; entry two 0; entry three 8


Entry one
The following is a DFT calculation (GGA-PBE) of a relaxed LiHoNi crystal.

Properties
ρ	6.061	g/cm3

a b c (Å): 4.4702 4.4702 4.4702
angles (deg): 60.00 60.00 60.00
With the nearest neighbours (Å) after each atom.
Element x y z (fractional)
Ho  0.0000  0.0000  0.0000  4 Li 2.74, 4 Ni 2.74
Li  0.7500  0.7500  0.7500  4 Ho 2.74
Ni  0.2500  0.2500  0.2500  4 Ho 2.74


Entry two
The following is a DFT calculation (GGA-PBE) of a relaxed LiHoNi crystal.

Properties
ρ	6.330	g/cm3

a b c (Å): 4.4061 4.4061 4.4061
angles (deg): 60.00 60.00 60.00
With the nearest neighbours (Å) after each atom.
Element x y z (fractional)
Ho  0.2500  0.2500  0.2500  4 Ni 2.70
Li  0.7500  0.7500  0.7500  4 Ni 2.70
Ni  0.0000  0.0000  0.0000  4 Ho 2.70, 4 Li 2.70


List of relative energies, unit meV per atom: entry one 430; entry two 0


Entry one
The following is a DFT calculation (GGA-PBE) of a relaxed LiHoNiS3 crystal.

Properties
ρ	4.727	g/cm3

a b c (Å): 6.2522 6.2522 10.2686
angles (deg): 90.00 90.00 34.89
With the nearest neighbours (Å) after each atom.
Element x y z (fractional)
Ho  0.0000  0.0000  0.0000  6 S 2.69-2.78
Ho  0.0000  0.0000  0.5000  6 S 2.69-2.78
Li  0.7704  0.7704  0.2500  6 S 2.70-2.85
Li  0.2296  0.2296  0.7500  6 S 2.70-2.85
Ni  0.4875  0.4875  0.2500  4 S 2.24-2.26
Ni  0.5125  0.5125  0.7500  4 S 2.24-2.26
S  0.3578  0.3578  0.0896  1 Ni 2.26
S  0.0901  0.0901  0.2500  2 Ni 2.24
S  0.3578  0.3578  0.4104  1 Ni 2.26
S  0.6422  0.6422  0.5896  1 Ni 2.26
S  0.9099  0.9099  0.7500  2 Ni 2.24
S  0.6422  0.6422  0.9104  1 Ni 2.26


Entry two
The following is a DFT calculation (GGA-PBE) of a relaxed LiHoNiS3 crystal.

Properties
ρ	4.459	g/cm3

a b c (Å): 7.4242 3.7480 8.9069
angles (deg): 90.00 100.92 90.00
With the nearest neighbours (Å) after each atom.
Element x y z (fractional)
Ho  0.8193  0.7500  0.3506  6 S 2.67-2.80
Ho  0.1807  0.2500  0.6494  6 S 2.67-2.80
Li  0.3008  0.7500  0.2864  4 S 2.61-2.67
Li  0.6992  0.2500  0.7136  4 S 2.61-2.67
Ni  0.5780  0.2500  0.0897  4 S 2.22-2.27
Ni  0.4220  0.7500  0.9103  4 S 2.22-2.27
S  0.7115  0.7500  0.0317  3 Ni 2.22-2.23
S  0.0770  0.2500  0.3392  2 Li 2.61, 3 Ho 2.69-2.72
S  0.5618  0.2500  0.3418  1 Ni 2.27
S  0.4382  0.7500  0.6582  1 Ni 2.27
S  0.9230  0.7500  0.6608  2 Li 2.61, 3 Ho 2.69-2.72
S  0.2885  0.2500  0.9683  3 Ni 2.22-2.23


List of relative energies, unit meV per atom: entry one 49; entry two 0


Entry one
The following is a DFT calculation (GGA-PBE) of a relaxed LiHoNiSe3 crystal.

Properties
ρ	5.575	g/cm3

a b c (Å): 7.8167 3.9065 9.3490
angles (deg): 90.00 102.74 90.00
With the nearest neighbours (Å) after each atom.
Element x y z (fractional)
Ho  0.1736  0.2500  0.1554  6 Se 2.82-2.92
Ho  0.8264  0.7500  0.8446  6 Se 2.82-2.92
Li  0.6744  0.2500  0.1423  5 Se 2.68-2.73
Li  0.3256  0.7500  0.8577  5 Se 2.68-2.73
Ni  0.4167  0.7500  0.4100  4 Se 2.35-2.42
Ni  0.5833  0.2500  0.5900  4 Se 2.35-2.42
Se  0.4334  0.7500  0.1546  1 Ni 2.42
Se  0.9127  0.7500  0.1588  2 Li 2.68, 3 Ho 2.83-2.87
Se  0.2846  0.2500  0.4749  3 Ni 2.35
Se  0.7154  0.7500  0.5251  3 Ni 2.35
Se  0.0873  0.2500  0.8412  2 Li 2.68, 3 Ho 2.83-2.87
Se  0.5666  0.2500  0.8454  1 Ni 2.42


Entry two
The following is a DFT calculation (GGA-PBE) of a relaxed LiHoNiSe3 crystal.

Properties
ρ	6.048	g/cm3

a b c (Å): 6.7612 6.7612 10.3538
angles (deg): 90.00 90.00 32.84
With the nearest neighbours (Å) after each atom.
Element x y z (fractional)
Ho  0.0000  0.0000  0.0000  6 Se 2.82-2.87
Ho  0.0000  0.0000  0.5000  6 Se 2.82-2.87
Li  0.7785  0.7785  0.2500  6 Se 2.74-3.05
Li  0.2215  0.2215  0.7500  6 Se 2.74-3.05
Ni  0.4852  0.4852  0.2500  4 Se 2.38
Ni  0.5148  0.5148  0.7500  4 Se 2.38
Se  0.3559  0.3559  0.0869  1 Ni 2.38
Se  0.0950  0.0950  0.2500  2 Ni 2.38
Se  0.3559  0.3559  0.4131  1 Ni 2.38
Se  0.6441  0.6441  0.5869  1 Ni 2.38
Se  0.9050  0.9050  0.7500  2 Ni 2.38
Se  0.6441  0.6441  0.9131  1 Ni 2.38


List of relative energies, unit meV per atom: entry one 0; entry two 52